VASP calculation (PBE) on a geometry-optimized Th2Ga3Ir4Au structure.

Structure (CIF):
```
data_Th2Ga3Ir4Au
_space_group_name_H-M_alt 'P 1'
_space_group_IT_number 1
_cell_length_a 4.1700
_cell_length_b 4.1700
_cell_length_c 11.0712
_cell_angle_alpha 90.00
_cell_angle_beta 90.00
_cell_angle_gamma 90.00
loop_
_space_group_symop_operation_xyz
'x,y,z'
loop_
_atom_site_label
_atom_site_type_symbol
_atom_site_fract_x
_atom_site_fract_y
_atom_site_fract_z
Ir1 Ir 0.0000 0.0000 0.0000
Ir2 Ir 0.5000 0.0000 0.6578
Ir3 Ir 0.0000 0.5000 0.3422
Ir4 Ir 0.5000 0.5000 0.0000
Th1 Th 0.0000 0.5000 0.7563
Th2 Th 0.5000 0.0000 0.2437
Ga1 Ga 0.0000 0.0000 0.5000
Ga2 Ga 0.5000 0.0000 0.8785
Ga3 Ga 0.0000 0.5000 0.1215
Au1 Au 0.5000 0.5000 0.5000
```

Values from the calculation:
Magnetic moment in μB per cell: 0.000
Energy of formation in meV per atom: -648